# 1
VASP calculation (PBE) on a geometry-optimized Nd3Ag5S12 structure.

E_form (uncorrected) ... -10.42 eV/f.u.
V ... 1879.5 Å³ per cell

a b c (Å): 13.4654 13.4654 13.4654
angles (deg): 109.47 109.47 109.47
Closest atoms and distances in Å follow each position.
Sites, in units of the cell vectors:
Nd 0.1250 0.2500 0.3750  8 S 2.90-2.99
Nd 0.1250 0.3750 0.7500  8 S 2.90-2.99
Nd 0.2500 0.3750 0.1250  8 S 2.90-2.99
Nd 0.2500 0.8750 0.6250  8 S 2.90-2.99
Nd 0.3750 0.1250 0.2500  8 S 2.90-2.99
Nd 0.3750 0.7500 0.1250  8 S 2.90-2.99
Nd 0.6250 0.2500 0.8750  8 S 2.90-2.99
Nd 0.6250 0.8750 0.7500  8 S 2.90-2.99
Nd 0.7500 0.1250 0.3750  8 S 2.90-2.99
Nd 0.7500 0.6250 0.8750  8 S 2.90-2.99
Nd 0.8750 0.6250 0.2500  8 S 2.90-2.99
Nd 0.8750 0.7500 0.6250  8 S 2.90-2.99
Ag 0.0000 0.0000 0.0000  6 S 2.52
Ag 0.0000 0.0000 0.5000  6 S 2.52
Ag 0.0000 0.5000 0.0000  6 S 2.52
Ag 0.0000 0.5000 0.5000  6 S 2.52
Ag 0.1250 0.7500 0.8750  4 S 2.46
Ag 0.1250 0.8750 0.2500  4 S 2.46
Ag 0.2500 0.1250 0.8750  4 S 2.46
Ag 0.2500 0.6250 0.3750  4 S 2.46
Ag 0.3750 0.2500 0.6250  4 S 2.46
Ag 0.3750 0.6250 0.7500  4 S 2.46
Ag 0.5000 0.0000 0.0000  6 S 2.52
Ag 0.5000 0.0000 0.5000  6 S 2.52
Ag 0.5000 0.5000 0.0000  6 S 2.52
Ag 0.5000 0.5000 0.5000  6 S 2.52
Ag 0.6250 0.3750 0.2500  4 S 2.46
Ag 0.6250 0.7500 0.3750  4 S 2.46
Ag 0.7500 0.3750 0.6250  4 S 2.46
Ag 0.7500 0.8750 0.1250  4 S 2.46
Ag 0.8750 0.1250 0.7500  4 S 2.46
Ag 0.8750 0.2500 0.1250  4 S 2.46
S 0.0408 0.2094 0.1293  2 Ag 2.46-2.52
S 0.0408 0.3315 0.9115  2 Ag 2.46-2.52
S 0.0801 0.7094 0.6685  2 Ag 2.46-2.52
S 0.0801 0.8707 0.4115  2 Ag 2.46-2.52
S 0.0885 0.6293 0.4199  2 Ag 2.46-2.52
S 0.0885 0.9592 0.6685  2 Ag 2.46-2.52
S 0.1293 0.0408 0.2094  2 Ag 2.46-2.52
S 0.1293 0.5885 0.9199  2 Ag 2.46-2.52
S 0.1685 0.2094 0.5801  2 Ag 2.46-2.52
S 0.1685 0.4592 0.5885  2 Ag 2.46-2.52
S 0.2094 0.1293 0.0408  2 Ag 2.46-2.52
S 0.2094 0.5801 0.1685  2 Ag 2.46-2.52
S 0.2906 0.3315 0.9199  2 Ag 2.46-2.52
S 0.2906 0.4592 0.3707  2 Ag 2.46-2.52
S 0.3315 0.9115 0.0408  2 Ag 2.46-2.52
S 0.3315 0.9199 0.2906  2 Ag 2.46-2.52
S 0.3707 0.2906 0.4592  2 Ag 2.46-2.52
S 0.3707 0.5801 0.9115  2 Ag 2.46-2.52
S 0.4115 0.0801 0.8707  2 Ag 2.46-2.52
S 0.4115 0.8315 0.5408  2 Ag 2.46-2.52
S 0.4199 0.0885 0.6293  2 Ag 2.46-2.52
S 0.4199 0.8315 0.7906  2 Ag 2.46-2.52
S 0.4592 0.3707 0.2906  2 Ag 2.46-2.52
S 0.4592 0.5885 0.1685  2 Ag 2.46-2.52
S 0.5408 0.4115 0.8315  2 Ag 2.46-2.52
S 0.5408 0.6293 0.7094  2 Ag 2.46-2.52
S 0.5801 0.1685 0.2094  2 Ag 2.46-2.52
S 0.5801 0.9115 0.3707  2 Ag 2.46-2.52
S 0.5885 0.1685 0.4592  2 Ag 2.46-2.52
S 0.5885 0.9199 0.1293  2 Ag 2.46-2.52
S 0.6293 0.4199 0.0885  2 Ag 2.46-2.52
S 0.6293 0.7094 0.5408  2 Ag 2.46-2.52
S 0.6685 0.0801 0.7094  2 Ag 2.46-2.52
S 0.6685 0.0885 0.9592  2 Ag 2.46-2.52
S 0.7094 0.5408 0.6293  2 Ag 2.46-2.52
S 0.7094 0.6685 0.0801  2 Ag 2.46-2.52
S 0.7906 0.4199 0.8315  2 Ag 2.46-2.52
S 0.7906 0.8707 0.9592  2 Ag 2.46-2.52
S 0.8315 0.5408 0.4115  2 Ag 2.46-2.52
S 0.8315 0.7906 0.4199  2 Ag 2.46-2.52
S 0.8707 0.4115 0.0801  2 Ag 2.46-2.52
S 0.8707 0.9592 0.7906  2 Ag 2.46-2.52
S 0.9115 0.0408 0.3315  2 Ag 2.46-2.52
S 0.9115 0.3707 0.5801  2 Ag 2.46-2.52
S 0.9199 0.1293 0.5885  2 Ag 2.46-2.52
S 0.9199 0.2906 0.3315  2 Ag 2.46-2.52
S 0.9592 0.6685 0.0885  2 Ag 2.46-2.52
S 0.9592 0.7906 0.8707  2 Ag 2.46-2.52


# 2
VASP calculation (PBE) on a geometry-optimized Er3BiPt structure.

Formation enthalpy at 0 K ... -4.2 eV per formula unit
V ... 277.3 Å³ per cell

a b c (Å): 8.0474 8.0474 8.5201
angles (deg): 92.15 92.15 30.20
Closest atoms and distances in Å follow each position.
Sites, in units of the cell vectors:
Er 0.0481 0.0481 0.2075  1 Pt 2.85
Er 0.2533 0.2533 0.7851  2 Pt 2.82
Er 0.3911 0.3911 0.4504  3 Pt 2.78-3.02
Er 0.6089 0.6089 0.5496  3 Pt 2.78-3.02
Er 0.7467 0.7467 0.2149  2 Pt 2.82
Er 0.9519 0.9519 0.7925  1 Pt 2.85
Bi 0.3905 0.3905 0.0732  8 Er 3.19-3.39
Bi 0.6095 0.6095 0.9268  8 Er 3.19-3.39
Pt 0.1971 0.1971 0.4143  6 Er 2.78-3.02, 2 Pt 3.01
Pt 0.8029 0.8029 0.5857  6 Er 2.78-3.02, 2 Pt 3.01


# 3
VASP calculation (PBE) on a geometry-optimized LiC structure.

Formation enthalpy at 0 K ... 4.2 eV per formula unit
V ... 46.1 Å³ per cell
Energy above the lowest structure with this stoichiometry ... 2.077 eV per atom

a b c (Å): 3.6577 3.6577 3.9777
angles (deg): 90.00 90.00 120.00
Closest atoms and distances in Å follow each position.
Sites, in units of the cell vectors:
Li 0.3333 0.6667 0.2500  5 C 1.99-2.11
Li 0.6667 0.3333 0.7500  5 C 1.99-2.11
C 0.3333 0.6667 0.7500  5 Li 1.99-2.11
C 0.6667 0.3333 0.2500  5 Li 1.99-2.11


# 4
VASP calculation (PBE) on a geometry-optimized Cs3SBr6 structure.

E_form (uncorrected) ... -9.55 eV/f.u.
V ... 447.2 Å³ per cell

a b c (Å): 8.7691 8.7691 8.7691
angles (deg): 123.70 123.70 83.70
Closest atoms and distances in Å follow each position.
Sites, in units of the cell vectors:
Cs 0.0000 0.0000 0.0000  6 Br 3.37-3.41
Cs 0.2500 0.7500 0.5000  12 Br 4.14-4.41
Cs 0.7500 0.2500 0.5000  12 Br 4.14-4.41
S 0.5000 0.5000 0.0000  4 Br 2.48
Br 0.2611 0.2611 0.0000  1 S 3.12, 1 Cs 3.41
Br 0.2884 0.2884 0.5767  1 S 2.48
Br 0.2884 0.7116 0.0000  1 S 2.48
Br 0.7116 0.2884 0.0000  1 S 2.48
Br 0.7116 0.7116 0.4233  1 S 2.48
Br 0.7389 0.7389 0.0000  1 S 3.12, 1 Cs 3.41


no.,N(E_F) (states/eV per cell)
1,62.39
2,8.16
3,2.08
4,0.00